# Pm2DyScBi5

Pm2DyScBi5 after structural relaxation (GGA-PBE, Alexandria via LeMat-Bulk).

The structure in CIF format:
```
data_Pm2DyScBi5
_chemical_formula_sum 'Pm2 Dy1 Sc1 Bi5'
_symmetry_space_group_name_H-M 'P 4/m m m'
_symmetry_Int_Tables_number 123
_symmetry_space_group_name_Hall '-P 4 2'
_cell_length_a 5.478
_cell_length_b 5.478
_cell_length_c 11.550
_cell_angle_alpha 90.00
_cell_angle_beta 90.00
_cell_angle_gamma 90.00
loop_
_atom_site_label
_atom_site_type_symbol
_atom_site_fract_x
_atom_site_fract_y
_atom_site_fract_z
_atom_site_occupancy
Pm1 Pm 0.000 0.000 0.220 1
Dy1 Dy 0.500 0.500 0.000 1
Sc1 Sc 0.500 0.500 0.500 1
Bi1 Bi 0.000 0.000 0.500 1
Bi2 Bi 0.000 0.500 0.000 1
Bi3 Bi 0.500 0.500 0.261 1
```

- Fermi-level density of states: 0.7364 states/eV/atom
- Formation energy: -0.045 eV per atom
- Uncorrected energy: -4.471 eV per atom
- Mass density: 7.39 g/cm3

---

# PmDySc2Bi4

PmDySc2Bi4 after structural relaxation (GGA-PBE, Alexandria via LeMat-Bulk).

The structure in CIF format:
```
data_PmDySc2Bi4
_chemical_formula_sum 'Pm1 Dy1 Sc2 Bi4'
_symmetry_space_group_name_H-M 'P 1 2/m 1'
_symmetry_Int_Tables_number 10
_symmetry_space_group_name_Hall '-P 2y'
_cell_length_a 7.609
_cell_length_b 4.404
_cell_length_c 7.628
_cell_angle_alpha 90.00
_cell_angle_beta 109.52
_cell_angle_gamma 90.00
loop_
_atom_site_label
_atom_site_type_symbol
_atom_site_fract_x
_atom_site_fract_y
_atom_site_fract_z
_atom_site_occupancy
Pm1 Pm 0.000 0.000 0.000 1
Dy1 Dy 0.000 0.500 0.500 1
Sc1 Sc 0.500 0.000 0.500 1
Sc2 Sc 0.500 0.500 0.000 1
Bi1 Bi 0.267 0.000 0.752 1
Bi2 Bi 0.269 0.500 0.260 1
```

- Fermi-level density of states: 0.1823 states/eV/atom
- Formation energy: -0.771 eV per atom
- Uncorrected energy: -5.464 eV per atom
- Mass density: 8.50 g/cm3

---

# Pm2Sm3DyBi6

Pm2Sm3DyBi6 after structural relaxation (GGA-PBE, Alexandria via LeMat-Bulk).

The structure in CIF format:
```
data_Pm2Sm3DyBi6
_chemical_formula_sum 'Pm4 Sm6 Dy2 Bi12'
_symmetry_space_group_name_H-M 'C 1 2/m 1'
_symmetry_Int_Tables_number 12
_symmetry_space_group_name_Hall '-C 2y'
_cell_length_a 19.833
_cell_length_b 4.552
_cell_length_c 9.102
_cell_angle_alpha 90.00
_cell_angle_beta 103.23
_cell_angle_gamma 90.00
loop_
_atom_site_label
_atom_site_type_symbol
_atom_site_fract_x
_atom_site_fract_y
_atom_site_fract_z
_atom_site_occupancy
Pm1 Pm 0.166 0.000 0.333 1
Sm1 Sm 0.000 0.500 0.500 1
Sm2 Sm 0.168 0.000 0.834 1
Dy1 Dy 0.000 0.500 0.000 1
Bi1 Bi 0.001 0.000 0.754 1
Bi2 Bi 0.165 0.500 0.081 1
Bi3 Bi 0.166 0.500 0.584 1
```

- Fermi-level density of states: 0.1690 states/eV/atom
- Formation energy: -0.918 eV per atom
- Uncorrected energy: -5.214 eV per atom
- Mass density: 8.96 g/cm3

---

# Pm3Sm2DyBi6

Pm3Sm2DyBi6 after structural relaxation (GGA-PBE, Alexandria via LeMat-Bulk).

The structure in CIF format:
```
data_Pm3Sm2DyBi6
_chemical_formula_sum 'Pm6 Sm4 Dy2 Bi12'
_symmetry_space_group_name_H-M 'C 1 2/m 1'
_symmetry_Int_Tables_number 12
_symmetry_space_group_name_Hall '-C 2y'
_cell_length_a 19.846
_cell_length_b 4.556
_cell_length_c 9.108
_cell_angle_alpha 90.00
_cell_angle_beta 103.21
_cell_angle_gamma 90.00
loop_
_atom_site_label
_atom_site_type_symbol
_atom_site_fract_x
_atom_site_fract_y
_atom_site_fract_z
_atom_site_occupancy
Pm1 Pm 0.000 0.000 0.000 1
Pm2 Pm 0.167 0.500 0.334 1
Sm1 Sm 0.166 0.500 0.833 1
Dy1 Dy 0.000 0.000 0.500 1
Bi1 Bi 0.000 0.500 0.255 1
Bi2 Bi 0.165 0.000 0.583 1
Bi3 Bi 0.167 0.000 0.083 1
```

- Fermi-level density of states: 0.1690 states/eV/atom
- Formation energy: -0.921 eV per atom
- Uncorrected energy: -5.219 eV per atom
- Mass density: 8.92 g/cm3

---

# Pm2SmDyBi5

Pm2SmDyBi5 after structural relaxation (GGA-PBE, Alexandria via LeMat-Bulk).

The structure in CIF format:
```
data_Pm2SmDyBi5
_chemical_formula_sum 'Pm2 Sm1 Dy1 Bi5'
_symmetry_space_group_name_H-M 'P 4/m m m'
_symmetry_Int_Tables_number 123
_symmetry_space_group_name_Hall '-P 4 2'
_cell_length_a 5.514
_cell_length_b 5.514
_cell_length_c 11.932
_cell_angle_alpha 90.00
_cell_angle_beta 90.00
_cell_angle_gamma 90.00
loop_
_atom_site_label
_atom_site_type_symbol
_atom_site_fract_x
_atom_site_fract_y
_atom_site_fract_z
_atom_site_occupancy
Pm1 Pm 0.000 0.000 0.226 1
Sm1 Sm 0.500 0.500 0.000 1
Dy1 Dy 0.500 0.500 0.500 1
Bi1 Bi 0.000 0.000 0.500 1
Bi2 Bi 0.000 0.500 0.000 1
Bi3 Bi 0.500 0.500 0.256 1
```

- Fermi-level density of states: 0.6569 states/eV/atom
- Formation energy: -0.027 eV per atom
- Uncorrected energy: -4.274 eV per atom
- Mass density: 7.54 g/cm3

---

# Pm2SmDy3Bi6

Pm2SmDy3Bi6 after structural relaxation (GGA-PBE, Alexandria via LeMat-Bulk).

The structure in CIF format:
```
data_Pm2SmDy3Bi6
_chemical_formula_sum 'Pm4 Sm2 Dy6 Bi12'
_symmetry_space_group_name_H-M 'C 1 2/m 1'
_symmetry_Int_Tables_number 12
_symmetry_space_group_name_Hall '-C 2y'
_cell_length_a 19.711
_cell_length_b 4.525
_cell_length_c 9.046
_cell_angle_alpha 90.00
_cell_angle_beta 103.17
_cell_angle_gamma 90.00
loop_
_atom_site_label
_atom_site_type_symbol
_atom_site_fract_x
_atom_site_fract_y
_atom_site_fract_z
_atom_site_occupancy
Pm1 Pm 0.167 0.000 0.333 1
Sm1 Sm 0.000 0.500 0.000 1
Dy1 Dy 0.000 0.500 0.500 1
Dy2 Dy 0.167 0.000 0.833 1
Bi1 Bi 0.002 0.000 0.747 1
Bi2 Bi 0.165 0.500 0.587 1
Bi3 Bi 0.168 0.500 0.079 1
```

- Fermi-level density of states: 0.1678 states/eV/atom
- Formation energy: -0.896 eV per atom
- Uncorrected energy: -5.173 eV per atom
- Mass density: 9.22 g/cm3

---

# PmSm2DyBi5

PmSm2DyBi5 after structural relaxation (GGA-PBE, Alexandria via LeMat-Bulk).

The structure in CIF format:
```
data_PmSm2DyBi5
_chemical_formula_sum 'Pm1 Sm2 Dy1 Bi5'
_symmetry_space_group_name_H-M 'P 4/m m m'
_symmetry_Int_Tables_number 123
_symmetry_space_group_name_Hall '-P 4 2'
_cell_length_a 5.413
_cell_length_b 5.413
_cell_length_c 12.053
_cell_angle_alpha 90.00
_cell_angle_beta 90.00
_cell_angle_gamma 90.00
loop_
_atom_site_label
_atom_site_type_symbol
_atom_site_fract_x
_atom_site_fract_y
_atom_site_fract_z
_atom_site_occupancy
Pm1 Pm 0.000 0.000 0.000 1
Sm1 Sm 0.500 0.500 0.270 1
Dy1 Dy 0.000 0.000 0.500 1
Bi1 Bi 0.000 0.000 0.249 1
Bi2 Bi 0.000 0.500 0.500 1
Bi3 Bi 0.500 0.500 0.000 1
```

- Fermi-level density of states: 0.6814 states/eV/atom
- Formation energy: -0.092 eV per atom
- Uncorrected energy: -4.336 eV per atom
- Mass density: 7.77 g/cm3

---

# PmSm3Dy2Bi6

PmSm3Dy2Bi6 after structural relaxation (GGA-PBE, Alexandria via LeMat-Bulk).

The structure in CIF format:
```
data_PmSm3Dy2Bi6
_chemical_formula_sum 'Pm2 Sm6 Dy4 Bi12'
_symmetry_space_group_name_H-M 'C 1 2/m 1'
_symmetry_Int_Tables_number 12
_symmetry_space_group_name_Hall '-C 2y'
_cell_length_a 19.758
_cell_length_b 4.535
_cell_length_c 9.068
_cell_angle_alpha 90.00
_cell_angle_beta 103.21
_cell_angle_gamma 90.00
loop_
_atom_site_label
_atom_site_type_symbol
_atom_site_fract_x
_atom_site_fract_y
_atom_site_fract_z
_atom_site_occupancy
Pm1 Pm 0.000 0.000 0.000 1
Sm1 Sm 0.000 0.000 0.500 1
Sm2 Sm 0.166 0.500 0.833 1
Dy1 Dy 0.167 0.500 0.334 1
Bi1 Bi 0.002 0.500 0.252 1
Bi2 Bi 0.167 0.000 0.087 1
Bi3 Bi 0.168 0.000 0.580 1
```

- Fermi-level density of states: 0.1681 states/eV/atom
- Formation energy: -0.904 eV per atom
- Uncorrected energy: -5.188 eV per atom
- Mass density: 9.13 g/cm3

---

# Pm3SmDy2Bi6

Pm3SmDy2Bi6 after structural relaxation (GGA-PBE, Alexandria via LeMat-Bulk).

The structure in CIF format:
```
data_Pm3SmDy2Bi6
_chemical_formula_sum 'Pm6 Sm2 Dy4 Bi12'
_symmetry_space_group_name_H-M 'C 1 2/m 1'
_symmetry_Int_Tables_number 12
_symmetry_space_group_name_Hall '-C 2y'
_cell_length_a 19.787
_cell_length_b 4.542
_cell_length_c 9.081
_cell_angle_alpha 90.00
_cell_angle_beta 103.19
_cell_angle_gamma 90.00
loop_
_atom_site_label
_atom_site_type_symbol
_atom_site_fract_x
_atom_site_fract_y
_atom_site_fract_z
_atom_site_occupancy
Pm1 Pm 0.000 0.000 0.000 1
Pm2 Pm 0.166 0.500 0.333 1
Sm1 Sm 0.000 0.000 0.500 1
Dy1 Dy 0.167 0.500 0.833 1
Bi1 Bi 0.002 0.500 0.750 1
Bi2 Bi 0.167 0.000 0.588 1
Bi3 Bi 0.168 0.000 0.079 1
```

- Fermi-level density of states: 0.1681 states/eV/atom
- Formation energy: -0.910 eV per atom
- Uncorrected energy: -5.198 eV per atom
- Mass density: 9.04 g/cm3

---

# TbPmDy2Bi4

TbPmDy2Bi4 after structural relaxation (GGA-PBE, Alexandria via LeMat-Bulk).

The structure in CIF format:
```
data_TbPmDy2Bi4
_chemical_formula_sum 'Tb1 Pm1 Dy2 Bi4'
_symmetry_space_group_name_H-M 'P 1 2/m 1'
_symmetry_Int_Tables_number 10
_symmetry_space_group_name_Hall '-P 2y'
_cell_length_a 7.804
_cell_length_b 4.509
_cell_length_c 7.805
_cell_angle_alpha 90.00
_cell_angle_beta 109.47
_cell_angle_gamma 90.00
loop_
_atom_site_label
_atom_site_type_symbol
_atom_site_fract_x
_atom_site_fract_y
_atom_site_fract_z
_atom_site_occupancy
Tb1 Tb 0.000 0.000 0.000 1
Pm1 Pm 0.000 0.500 0.500 1
Dy1 Dy 0.500 0.000 0.500 1
Dy2 Dy 0.500 0.500 0.000 1
Bi1 Bi 0.253 0.500 0.249 1
Bi2 Bi 0.255 0.000 0.754 1
```

- Fermi-level density of states: 0.1547 states/eV/atom
- Formation energy: -0.883 eV per atom
- Uncorrected energy: -5.146 eV per atom
- Mass density: 9.39 g/cm3